{"formula": "EuHoRh2", "functional": "PBE", "state": "optimized geometry", "ef_ev_per_atom": -0.641, "de_polymorph_mev_per_atom": 0, "cell": [[3.4245, 0.0000, 0.0000], [0.0000, 3.4245, 0.0000], [0.0000, 0.0000, 7.0920]], "species": ["Eu", "Ho", "Rh", "Rh"], "frac_coords": [[0.0000, 0.0000, 0.0000], [0.0000, 0.0000, 0.5000], [0.5000, 0.5000, 0.2732], [0.5000, 0.5000, 0.7268]]}